(1)
The following is a GGA-PBE calculation of an optimized crystal structure of DyNbAl2, from Alexandria.

Values from the calculation:
energy above the most stable polymorph in this dataset = 242 meV per atom

Cell: 3.0764 3.0764 29.6712 Å, 90.00 90.00 120.00°
Last column: nearest neighbours and their distance in Å.
Space group R-3m (No. 166, hexagonal axes)
Asymmetric unit:
Dy: 0.0000 0.0000 0.0000 (multiplicity 3)  6 Dy 3.08, 6 Al 3.23
Nb: 0.0000 0.0000 0.5000 (multiplicity 3)  6 Al 2.86, 6 Nb 3.08
Al: 0.0000 0.0000 0.2423 (multiplicity 6)  3 Nb 2.86, 6 Al 3.08

(2)
The following is a GGA-PBE calculation of an optimized crystal structure of DyNbAl4, from Alexandria.

Cell: 7.5578 7.5578 7.5578 Å, 90.00 90.00 90.00°
Last column: nearest neighbours and their distance in Å.
Space group F-43m (No. 216)
Asymmetric unit:
Dy: 0.0000 0.0000 0.0000 (multiplicity 4)  12 Al 3.13, 4 Nb 3.27
Nb: 0.2500 0.2500 0.7500 (multiplicity 4)  12 Al 3.13, 4 Dy 3.27
Al: 0.1244 0.1244 0.3756 (multiplicity 16)  6 Al 2.66-2.68

(3)
The following is a GGA-PBE calculation of an optimized crystal structure of DyNbAl, from Alexandria.

Cell: 5.5369 7.5115 12.8148 Å, 90.00 90.00 90.00°
Last column: nearest neighbours and their distance in Å.
Space group Fmmm (No. 69)
Asymmetric unit:
Dy: 0.2500 0.2500 0.2500 (multiplicity 8)  2 Dy 2.77, 4 Al 3.04
Nb: 0.0000 0.1691 0.0000 (multiplicity 8)  1 Nb 2.54, 2 Al 2.78
Al: 0.0000 0.0000 0.4022 (multiplicity 8)  1 Al 2.51, 2 Nb 2.78

(4)
The following is a GGA-PBE calculation of an optimized crystal structure of Dy2NbAl, from Alexandria.

Cell: 3.1974 3.1974 32.8844 Å, 90.00 90.00 120.00°
Last column: nearest neighbours and their distance in Å.
Space group R-3m (No. 166, hexagonal axes)
Asymmetric unit:
Dy: 0.0000 0.0000 0.0914 (multiplicity 6)  1 Nb 3.00, 3 Al 3.09, 6 Dy 3.20
Nb: 0.0000 0.0000 0.0000 (multiplicity 3)  2 Dy 3.00, 6 Nb 3.20
Al: 0.0000 0.0000 0.5000 (multiplicity 3)  6 Dy 3.09, 6 Al 3.20

(5)
The following is a GGA-PBE calculation of an optimized crystal structure of DyNb2Al6, from Alexandria.

Cell: 3.8863 6.9299 12.8983 Å, 90.00 90.00 90.00°
Last column: nearest neighbours and their distance in Å.
Space group Immm (No. 71)
Asymmetric unit:
Dy: 0.0000 0.0000 0.0000 (multiplicity 2)  4 Al 2.94
Nb: 0.0000 0.5000 0.1183 (multiplicity 4)  10 Al 2.77-2.98, 1 Nb 3.05
Al: 0.0000 0.1808 0.5000 (multiplicity 4)  3 Al 2.51-2.54, 4 Nb 2.77
Al: 0.0000 0.2996 0.3139 (multiplicity 8)  4 Al 2.54-2.78

(6)
The following is a GGA-PBE calculation of an optimized crystal structure of DyNbAl2, from Alexandria.

Values from the calculation:
energy above the most stable polymorph in this dataset = 0 meV per atom

Cell: 3.5350 3.5350 6.3735 Å, 90.00 90.00 90.00°
Last column: nearest neighbours and their distance in Å.
Space group P4/mmm (No. 123)
Asymmetric unit:
Dy: 0.0000 0.0000 0.0000 (multiplicity 1)  8 Al 3.13, 2 Nb 3.19
Nb: 0.0000 0.0000 0.5000 (multiplicity 1)  8 Al 2.82
Al: 0.5000 0.5000 0.2963 (multiplicity 2)  1 Al 2.60, 4 Nb 2.82

| no. | formation energy from the elements (eV/atom) | DFT total energy (eV/atom) |
| --- | --- | --- |
| 1 | -0.02 | -5.56 |
| 2 | -0.39 | -5.33 |
| 3 | 0.22 | -5.92 |
| 4 | 0.43 | -5.32 |
| 5 | -0.20 | -5.45 |
| 6 | -0.26 | -5.80 |